# Ca2PaRuN4 | Alexandria via LeMat-Bulk | PBE | optimized geometry
# Raw formation energy   -0.93 eV per atom
# Total magnetization   0.68 μB per formula unit
# DOS at the Fermi energy   5.08 states/eV/f.u.
# Space group   P2/m
# Volume   13.47 Å³ per atom
data_Ca2PaRuN4
_space_group_name_H-M_alt 'P 1'
_space_group_IT_number 1
_space_group_name_Hall 'P 1'
_cell_length_a 3.482
_cell_length_b 5.569
_cell_length_c 5.891
_cell_angle_alpha 109.36
_cell_angle_beta 90.00
_cell_angle_gamma 90.00
loop_
_atom_site_label
_atom_site_type_symbol
_atom_site_fract_x
_atom_site_fract_y
_atom_site_fract_z
_atom_site_occupancy
N1 N 0.500 0.223 0.207 1
Ca1 Ca 0.000 0.500 0.500 1
N2 N 0.000 0.741 0.221 1
N3 N 0.000 0.259 0.779 1
Ca2 Ca 0.500 0.000 0.500 1
N4 N 0.500 0.777 0.793 1
Ru1 Ru 0.000 0.000 0.000 1
Pa1 Pa 0.500 0.500 0.000 1